Record 1
Here is a relaxed structure of NaAg2BAu from the Alexandria database. Energies are from PBE.

Cell: 4.322 4.322 4.846 Å, 90.00 90.00 90.00°
Space group P4/mmm (No. 123)
Symmetry-distinct sites (fractional):
Na 0.000 0.000 0.000 (multiplicity 1)
Ag 0.000 0.500 0.500 (multiplicity 2)
B 0.000 0.000 0.500 (multiplicity 1)
Au 0.500 0.500 0.000 (multiplicity 1)

Total energy in eV/atom: -2.90
DOS at the Fermi energy in states/eV per atom: 0.5683
Energy of formation from the pure elements in meV per atom: 495

***

Record 2
Here is a relaxed structure of Tc2HgSO from the Alexandria database. Energies are from PBE.

Cell: 5.343 5.343 4.694 Å, 90.00 90.00 90.00°
Space group P4/mmm (No. 123)
Symmetry-distinct sites (fractional):
Tc 0.000 0.500 0.000 (multiplicity 2)
Hg 0.000 0.000 0.000 (multiplicity 1)
S 0.000 0.000 0.500 (multiplicity 1)
O 0.500 0.500 0.500 (multiplicity 1)

Total energy in eV/atom: -3.72
DOS at the Fermi energy in states/eV per atom: 1.5460
Formation energy without anion corrections in eV per atom: 2.30

***

Record 3
Here is a relaxed structure of Ag2OsPb from the Alexandria database. Energies are from PBE.

Cell: 6.672 6.672 6.672 Å, 90.00 90.00 90.00°
Space group F-43m (No. 216)
Symmetry-distinct sites (fractional):
Ag 0.000 0.000 0.000 (multiplicity 4)
Ag 0.250 0.250 0.250 (multiplicity 4)
Os 0.250 0.250 0.750 (multiplicity 4)
Pb 0.000 0.000 0.500 (multiplicity 4)

Total energy in eV/atom: -4.44
DOS at the Fermi energy in states/eV per atom: 0.6580
Energy of formation from the pure elements in meV per atom: 718

***

Record 4
Here is a relaxed structure of GdErZnIn from the Alexandria database. Energies are from PBE.

Cell: 7.364 7.364 7.364 Å, 90.00 90.00 90.00°
Space group F-43m (No. 216)
Symmetry-distinct sites (fractional):
Gd 0.000 0.000 0.000 (multiplicity 4)
Er 0.000 0.000 0.500 (multiplicity 4)
Zn 0.250 0.250 0.250 (multiplicity 4)
In 0.250 0.250 0.750 (multiplicity 4)

Total energy in eV/atom: -6.06
DOS at the Fermi energy in states/eV per atom: 0.8092
Energy of formation from the pure elements in meV per atom: -398

***

Record 5
Here is a relaxed structure of PaCuSn2 from the Alexandria database. Energies are from PBE.

Cell: 4.415 4.415 9.254 Å, 90.00 90.00 90.00°
Space group P4/nmm (No. 129, origin choice 2)
Symmetry-distinct sites (fractional):
Pa 0.250 0.250 0.232 (multiplicity 2)
Cu 0.250 0.750 0.000 (multiplicity 2)
Sn 0.250 0.250 0.828 (multiplicity 2)
Sn 0.250 0.750 0.500 (multiplicity 2)

Total energy in eV/atom: -5.64
DOS at the Fermi energy in states/eV per atom: 0.6274
Polymorph energy (0 for the lowest one) in eV/f.u.: 0.000
Energy of formation from the pure elements in meV per atom: -244

***

Record 6
Here is a relaxed structure of Ba2Fe from the Alexandria database. Energies are from PBE.

Cell: 8.8699 8.8699 5.1927 Å, 90.00 90.00 120.00°
Space group P-62m (No. 189)
Symmetry-distinct sites (fractional):
Ba 0.0000 0.2633 0.0000 (multiplicity 3)
Ba 0.0000 0.5972 0.5000 (multiplicity 3)
Fe 0.0000 0.0000 0.5000 (multiplicity 1)
Fe 0.3333 0.6667 0.0000 (multiplicity 2)

Total energy in eV/atom: -3.48
DOS at the Fermi energy in states/eV per atom: 2.0837
Energy of formation from the pure elements in meV per atom: 619

***

Record 7
Here is a relaxed structure of LiB2PdRh from the Alexandria database. Energies are from PBE.

Cell: 3.851 3.851 3.854 Å, 90.00 90.00 90.00°
Space group P4/mmm (No. 123)
Symmetry-distinct sites (fractional):
Li 0.000 0.000 0.000 (multiplicity 1)
B 0.000 0.500 0.000 (multiplicity 2)
Pd 0.000 0.000 0.500 (multiplicity 1)
Rh 0.500 0.500 0.500 (multiplicity 1)

Total energy in eV/atom: -4.18
DOS at the Fermi energy in states/eV per atom: 0.9047
Energy of formation from the pure elements in meV per atom: 1379

***

Repeat the fourth record exactly.
Here is a relaxed structure of GdErZnIn from the Alexandria database. Energies are from PBE.

Cell: 7.364 7.364 7.364 Å, 90.00 90.00 90.00°
Space group F-43m (No. 216)
Symmetry-distinct sites (fractional):
Gd 0.000 0.000 0.000 (multiplicity 4)
Er 0.000 0.000 0.500 (multiplicity 4)
Zn 0.250 0.250 0.250 (multiplicity 4)
In 0.250 0.250 0.750 (multiplicity 4)

Total energy in eV/atom: -6.06
DOS at the Fermi energy in states/eV per atom: 0.8092
Energy of formation from the pure elements in meV per atom: -398

***

Which value of DOS at the Fermi energy does entry 2 give?
1.5460 states/eV per atom

***

DOS at the Fermi energy of number 1 (NaAg2BAu)?
0.5683 states/eV per atom